Entry 1:
# CsCuSe3

A relaxed structure of CsCuSe3 (PBE-GGA, the Alexandria database).

Computed properties:
Energy   -3.5583 eV per atom
Energy relative to the elements, uncorrected   -11.0 kcal/mol of atoms
Size of the total moment   0.00 μB per cell
Distance to the lowest polymorph of the same formula   0.0 meV per atom

Unit cell a=6.3963 b=13.7706 c=7.5668 alpha=90.00 beta=110.23 gamma=90.00
Closest atoms and distances in Å follow each position.
Space group C2/c (No. 15)
Asymmetric unit:
Cs1 0.0000 0.1575 0.2500 (multiplicity 4)  8 Se 3.64-3.92
Cu1 0.0000 0.4585 0.2500 (multiplicity 4)  2 Se 2.32
Se1 0.0000 0.1774 0.7500 (multiplicity 4)  2 Se 2.46
Se2 0.1932 0.4239 0.0479 (multiplicity 8)  1 Cu 2.32, 1 Se 2.46


Entry 2:
# TbPtPbAu

A relaxed structure of TbPtPbAu (PBE-GGA, the Alexandria database).

Computed properties:
Density of states at the Fermi level   0.36 states/eV/atom
Energy   -5.0843 eV per atom
Energy relative to the elements   -64.7 kJ per mole of atoms
Size of the total moment   0.00 μB per cell

Unit cell a=7.0606 b=7.0606 c=7.0606 alpha=90.00 beta=90.00 gamma=90.00
Closest atoms and distances in Å follow each position.
Space group F-43m (No. 216)
Asymmetric unit:
Tb1 0.0000 0.0000 0.0000 (multiplicity 4)  4 Au 3.06, 4 Pt 3.06
Pt1 0.2500 0.2500 0.2500 (multiplicity 4)  4 Tb 3.06, 4 Pb 3.06
Pb1 0.0000 0.0000 0.5000 (multiplicity 4)  4 Pt 3.06, 4 Au 3.06
Au1 0.2500 0.2500 0.7500 (multiplicity 4)  4 Tb 3.06, 4 Pb 3.06


Entry 3:
# LaLuMgSc

A relaxed structure of LaLuMgSc (PBE-GGA, the Alexandria database).

Computed properties:
Density of states at the Fermi level   1.23 states/eV/atom
Energy   -4.3119 eV per atom
Energy relative to the elements   3.1 kJ per mole of atoms
Size of the total moment   0.00 μB per cell

Unit cell a=7.7024 b=7.7024 c=7.7024 alpha=90.00 beta=90.00 gamma=90.00
Closest atoms and distances in Å follow each position.
Space group F-43m (No. 216)
Asymmetric unit:
La1 0.0000 0.0000 0.0000 (multiplicity 4)  4 Mg 3.34, 4 Sc 3.34
Lu1 0.0000 0.0000 0.5000 (multiplicity 4)  4 Mg 3.34, 4 Sc 3.34
Mg1 0.2500 0.2500 0.7500 (multiplicity 4)  4 La 3.34, 4 Lu 3.34
Sc1 0.2500 0.2500 0.2500 (multiplicity 4)  4 La 3.34, 4 Lu 3.34


Entry 4:
# LaZnRe

A relaxed structure of LaZnRe (PBE-GGA, the Alexandria database).

Computed properties:
Density of states at the Fermi level   1.00 states/eV/atom
Energy   -5.7652 eV per atom
Energy relative to the elements   43.5 kJ per mole of atoms
Size of the total moment   0.57 μB per cell
Distance to the lowest polymorph of the same formula   145.6 meV per atom

Unit cell a=2.9550 b=2.9550 c=13.5725 alpha=90.00 beta=90.00 gamma=90.00
Closest atoms and distances in Å follow each position.
Space group I4mm (No. 107)
Asymmetric unit:
La1 0.0000 0.0000 0.0000 (multiplicity 2)  4 La 2.95, 4 Re 3.23
Zn1 0.0000 0.0000 0.6909 (multiplicity 2)  4 Re 2.72, 4 Zn 2.95
Re1 0.0000 0.0000 0.3188 (multiplicity 2)  4 Zn 2.72, 4 Re 2.95


Entry 5:
# K2SrThO4

A relaxed structure of K2SrThO4 (PBE-GGA, the Alexandria database).

Computed properties:
Density of states at the Fermi level   0.00 states/eV/atom
Energy   -6.5233 eV per atom
Energy relative to the elements, uncorrected   -60.7 kcal/mol of atoms
Size of the total moment   0.00 μB per cell

Unit cell a=6.4227 b=3.7242 c=6.6523 alpha=90.00 beta=108.78 gamma=90.00
Closest atoms and distances in Å follow each position.
Space group P2/m (No. 10)
Asymmetric unit:
K1 0.0000 0.0000 0.0000 (multiplicity 1)  6 O 2.94-3.04
K2 0.5000 0.5000 0.0000 (multiplicity 1)  6 O 2.79-2.83
Sr1 0.0000 0.5000 0.5000 (multiplicity 1)  6 O 2.55-2.58
Th1 0.5000 0.0000 0.5000 (multiplicity 1)  6 O 2.28-2.41
O1 0.2608 0.0000 0.6903 (multiplicity 2)  1 Th 2.28, 2 Sr 2.55
O2 0.2900 0.5000 0.3075 (multiplicity 2)  2 Th 2.41, 1 Sr 2.58


Entry 6:
# Cu3SbPd7

A relaxed structure of Cu3SbPd7 (PBE-GGA, the Alexandria database).

Computed properties:
Density of states at the Fermi level   0.62 states/eV/atom
Energy   -4.7856 eV per atom
Energy relative to the elements, uncorrected   0.3 kcal/mol of atoms
Size of the total moment   0.00 μB per cell

Unit cell a=8.8758 b=9.2652 c=4.9437 alpha=90.00 beta=117.59 gamma=90.00
Closest atoms and distances in Å follow each position.
Space group C2/m (No. 12)
Asymmetric unit:
Cu1 0.0000 0.0000 0.0000 (multiplicity 2)  6 Pd 2.55-2.57
Cu2 0.0000 0.2271 0.5000 (multiplicity 4)  7 Pd 2.53-2.68
Sb1 0.0000 0.5000 0.0000 (multiplicity 2)  4 Pd 2.47-2.64
Pd1 0.0000 0.5000 0.5000 (multiplicity 2)  2 Sb 2.47, 2 Cu 2.53
Pd2 0.1739 0.2309 0.1792 (multiplicity 8)  3 Cu 2.55-2.68, 4 Pd 2.70-2.84, 1 Sb 2.85
Pd3 0.1776 0.0000 0.5845 (multiplicity 4)  3 Cu 2.55-2.57, 1 Sb 2.64, 2 Pd 2.81